Here is a relaxed BaLa2Ir crystal from the Alexandria database. Energies are from PBE.

a b c (Å): 6.583 6.583 6.583
angles (deg): 140.27 140.27 57.45
Element x y z (fractional)
Ir 0.750 0.250 0.500
Ba 0.500 0.500 0.000
La 0.250 0.750 0.500
La 0.000 0.000 0.000

Results
* polymorph energy (0 for the lowest one): 573 meV/atom
* ΔH_f (0 K): 0.112 eV per atom
* raw total energy: -5.048 eV/atom
* SG: I-4m2 (119)